Entry 1:
This record from Alexandria describes a relaxed structure of Ho2Er5TmMg. The functional is PBE.

Cell lengths 5.3459, 10.3030, 10.3249 Å; angles 90.00, 90.00, 105.04 degrees
Atoms (fractional coordinates):
1 Ho 0.8853 0.7705 0.7951
2 Ho 0.1148 0.2296 0.7219
3 Ho 0.1147 0.2295 0.2951
4 Ho 0.8852 0.7704 0.2219
5 Er 0.3818 0.7635 0.0085
6 Er 0.7111 0.4222 0.8085
7 Er 0.4997 0.9993 0.7579
8 Er 0.2894 0.5789 0.7080
9 Er 0.9866 0.9732 0.5085
10 Er 0.6182 0.2365 0.5085
11 Er 0.2889 0.5778 0.3085
12 Er 0.5003 0.0007 0.2579
13 Er 0.7106 0.4211 0.2080
14 Er 0.0134 0.0268 0.0085
15 Tm 0.7942 0.5885 0.5084
16 Tm 0.2058 0.4115 0.0084
17 Mg 0.5954 0.1907 0.0071
18 Mg 0.4046 0.8093 0.5071

Properties
For the formation energy, the calculation gives 0.110 eV/atom. The space group is No. 36. For the density, the calculation gives 8220 kg/m³.



Entry 2:
This record from Alexandria describes a relaxed structure of AcSiN3. The functional is PBE.

Cell lengths 3.8559, 3.8559, 3.8559 Å; angles 90.00, 90.00, 90.00 degrees
Atoms (fractional coordinates):
1 Ac 0.5000 0.5000 0.5000
2 Si 0.0000 0.0000 0.0000
3 N 0.0000 0.5000 0.0000
4 N 0.0000 0.0000 0.5000
5 N 0.5000 0.0000 0.0000

Properties
The space group is No. 221. For the density, the calculation gives 8606 kg/m³. The value obtained for the uncorrected formation energy is -516 meV/atom.



Entry 3:
This record from Alexandria describes a relaxed structure of As2OsPt. The functional is PBE.

Cell lengths 4.9862, 5.2617, 2.9764 Å; angles 73.79, 89.55, 118.14 degrees
Atoms (fractional coordinates):
1 As 0.0000 0.0000 0.0000
2 As 0.5000 0.0000 0.5000
3 Os 0.0000 0.5000 0.5000
4 Pt 0.5000 0.5000 0.0000

Properties
For the formation energy, the calculation gives 0.510 eV/atom. Its energy relative to the lowest polymorph listed for this composition is 413 meV/atom. The space group is No. 12. For the density, the calculation gives 13626 kg/m³.



Entry 4:
This record from Alexandria describes a relaxed structure of Zr2TaRe. The functional is PBE.

Cell lengths 4.6995, 2.9866, 5.5209 Å; angles 78.37, 90.00, 90.00 degrees
Atoms (fractional coordinates):
1 Re 0.5000 0.2500 0.2500
2 Ta 0.5000 0.7500 0.7500
3 Zr 0.0000 0.0365 0.0089
4 Zr 0.0000 0.4635 0.4911

Properties
For the formation energy, the calculation gives 0.018 eV/atom. Its energy relative to the lowest polymorph listed for this composition is 150 meV/atom. The space group is No. 10. For the density, the calculation gives 12025 kg/m³.